<a>
This record from Alexandria describes a relaxed structure of Sr3Fe2N4. The functional is PBEsol.

Unit cell a=5.7869 b=9.6980 c=9.3669 alpha=90.00 beta=90.00 gamma=90.00
Positions (direct):
Sr 0.1138 0.1573 0.0831
Sr 0.1138 0.3427 0.4169
Sr 0.2500 0.0000 0.4015
Sr 0.2500 0.5000 0.0985
Sr 0.3862 0.6573 0.4169
Sr 0.3862 0.8427 0.0831
Sr 0.6138 0.1573 0.9169
Sr 0.6138 0.3427 0.5831
Sr 0.7500 0.0000 0.5985
Sr 0.7500 0.5000 0.9015
Sr 0.8862 0.6573 0.5831
Sr 0.8862 0.8427 0.9169
Fe 0.1502 0.2500 0.7500
Fe 0.2500 0.0000 0.7331
Fe 0.2500 0.5000 0.7669
Fe 0.3498 0.7500 0.7500
Fe 0.6502 0.2500 0.2500
Fe 0.7500 0.0000 0.2669
Fe 0.7500 0.5000 0.2331
Fe 0.8498 0.7500 0.2500
N 0.0141 0.0882 0.8290
N 0.0141 0.4118 0.6710
N 0.1437 0.6449 0.8717
N 0.1437 0.8551 0.6283
N 0.3563 0.1449 0.6283
N 0.3563 0.3551 0.8717
N 0.4859 0.5882 0.6710
N 0.4859 0.9118 0.8290
N 0.5141 0.0882 0.1710
N 0.5141 0.4118 0.3290
N 0.6437 0.6449 0.1283
N 0.6437 0.8551 0.3717
N 0.8563 0.1449 0.3717
N 0.8563 0.3551 0.1283
N 0.9859 0.5882 0.3290
N 0.9859 0.9118 0.1710

Properties
The calculation puts the density of states at the Fermi level at 0.48 states/eV/atom.



<b>
This record from Alexandria describes a relaxed structure of Sr3Fe2N4. The functional is PBEsol.

Unit cell a=6.9757 b=6.9757 c=5.4057 alpha=93.92 beta=93.92 gamma=74.83
Positions (direct):
Sr 0.0964 0.9036 0.7500
Sr 0.2410 0.5099 0.4469
Sr 0.4901 0.7590 0.0531
Sr 0.5099 0.2410 0.9469
Sr 0.7590 0.4901 0.5531
Sr 0.9036 0.0964 0.2500
Fe 0.0832 0.3367 0.9278
Fe 0.3367 0.0832 0.4278
Fe 0.6633 0.9168 0.5722
Fe 0.9168 0.6633 0.0722
N 0.1267 0.2305 0.6108
N 0.1830 0.5619 0.9702
N 0.2305 0.1267 0.1108
N 0.4381 0.8170 0.5298
N 0.5619 0.1830 0.4702
N 0.7695 0.8733 0.8892
N 0.8170 0.4381 0.0298
N 0.8733 0.7695 0.3892

Properties
The calculation puts the density of states at the Fermi level at 0.39 states/eV/atom.



Referenced to the most stable arrangement, the calculated values in eV/atom are <a> 0.000; <b> 0.030.



<a>
This record from Alexandria describes a relaxed structure of FeTcN2. The functional is PBEsol.

Unit cell a=5.1966 b=5.1966 c=5.1966 alpha=129.30 beta=129.30 gamma=74.53
Positions (direct):
Fe 0.0000 0.0000 0.0000
Fe 0.7500 0.2500 0.5000
Tc 0.2500 0.7500 0.5000
Tc 0.5000 0.5000 0.0000
N 0.0996 0.6250 0.9746
N 0.3750 0.3496 0.4746
N 0.6504 0.1250 0.0254
N 0.8750 0.9004 0.5254

Properties
The calculation puts the density of states at the Fermi level at 0.79 states/eV/atom.



<b>
This record from Alexandria describes a relaxed structure of FeTcN2. The functional is PBEsol.

Unit cell a=3.6018 b=3.6018 c=3.6018 alpha=60.00 beta=60.00 gamma=60.00
Positions (direct):
Fe 0.0000 0.0000 0.0000
Tc 0.5000 0.5000 0.5000
N 0.2500 0.2500 0.2500
N 0.7500 0.7500 0.7500

Properties
The calculation puts the density of states at the Fermi level at 0.72 states/eV/atom.



Referenced to the most stable arrangement, the calculated values in eV/atom are <a> 0.000; <b> 0.673.



<a>
This record from Alexandria describes a relaxed structure of YFe3N. The functional is PBEsol.

Unit cell a=4.5276 b=4.5276 c=4.5276 alpha=90.00 beta=90.00 gamma=90.00
Positions (direct):
Y 0.0000 0.0000 0.0000
Fe 0.0000 0.0000 0.5000
Fe 0.0000 0.5000 0.0000
Fe 0.5000 0.0000 0.0000
N 0.5000 0.5000 0.5000

Properties
The calculation puts the density of states at the Fermi level at 1.50 states/eV/atom.



<b>
This record from Alexandria describes a relaxed structure of YFe3N. The functional is PBEsol.

Unit cell a=3.8436 b=3.8436 c=3.8436 alpha=90.00 beta=90.00 gamma=90.00
Positions (direct):
Y 0.0000 0.0000 0.0000
Fe 0.0000 0.5000 0.5000
Fe 0.5000 0.0000 0.5000
Fe 0.5000 0.5000 0.0000
N 0.5000 0.5000 0.5000

Properties
The calculation puts the density of states at the Fermi level at 0.74 states/eV/atom.



Referenced to the most stable arrangement, the calculated values in eV/atom are <a> 3.145; <b> 0.000.



<a>
This record from Alexandria describes a relaxed structure of NaFe5O8. The functional is PBEsol.

Unit cell a=8.1548 b=8.1548 c=8.1548 alpha=90.00 beta=90.00 gamma=90.00
Positions (direct):
Na 0.1250 0.1250 0.1250
Na 0.3750 0.8750 0.6250
Na 0.6250 0.3750 0.8750
Na 0.8750 0.6250 0.3750
Fe 0.0083 0.9917 0.4917
Fe 0.1125 0.8625 0.8750
Fe 0.1250 0.6125 0.6375
Fe 0.1375 0.3750 0.3875
Fe 0.2417 0.7583 0.2583
Fe 0.2583 0.2417 0.7583
Fe 0.3625 0.6250 0.8875
Fe 0.3750 0.3875 0.1375
Fe 0.3875 0.1375 0.3750
Fe 0.4917 0.0083 0.9917
Fe 0.5083 0.5083 0.5083
Fe 0.6125 0.6375 0.1250
Fe 0.6250 0.8875 0.3625
Fe 0.6375 0.1250 0.6125
Fe 0.7417 0.7417 0.7417
Fe 0.7583 0.2583 0.2417
Fe 0.8625 0.8750 0.1125
Fe 0.8750 0.1125 0.8625
Fe 0.8875 0.3625 0.6250
Fe 0.9917 0.4917 0.0083
O 0.0915 0.8558 0.1086
O 0.1058 0.8415 0.6414
O 0.1086 0.0915 0.8558
O 0.1237 0.3763 0.6237
O 0.1263 0.6263 0.8737
O 0.1414 0.3942 0.1585
O 0.1442 0.6086 0.4085
O 0.1585 0.1414 0.3942
O 0.3415 0.8586 0.8942
O 0.3558 0.3914 0.9085
O 0.3586 0.6058 0.6585
O 0.3737 0.3737 0.3737
O 0.3763 0.6237 0.1237
O 0.3914 0.9085 0.3558
O 0.3942 0.1585 0.1414
O 0.4085 0.1442 0.6086
O 0.5915 0.6442 0.8914
O 0.6058 0.6585 0.3586
O 0.6086 0.4085 0.1442
O 0.6237 0.1237 0.3763
O 0.6263 0.8737 0.1263
O 0.6414 0.1058 0.8415
O 0.6442 0.8914 0.5915
O 0.6585 0.3586 0.6058
O 0.8415 0.6414 0.1058
O 0.8558 0.1086 0.0915
O 0.8586 0.8942 0.3415
O 0.8737 0.1263 0.6263
O 0.8763 0.8763 0.8763
O 0.8914 0.5915 0.6442
O 0.8942 0.3415 0.8586
O 0.9085 0.3558 0.3914

Properties
The calculation puts the density of states at the Fermi level at 0.76 states/eV/atom.



<b>
This record from Alexandria describes a relaxed structure of NaFe5O8. The functional is PBEsol.

Unit cell a=5.9173 b=5.9173 c=5.9173 alpha=56.91 beta=56.91 gamma=56.91
Positions (direct):
Na 0.0000 0.0000 0.0000
Fe 0.0000 0.0000 0.5000
Fe 0.0000 0.5000 0.0000
Fe 0.3784 0.3784 0.3784
Fe 0.5000 0.0000 0.0000
Fe 0.6216 0.6216 0.6216
O 0.2239 0.7402 0.7402
O 0.2409 0.2409 0.2409
O 0.2598 0.2598 0.7761
O 0.2598 0.7761 0.2598
O 0.7402 0.2239 0.7402
O 0.7402 0.7402 0.2239
O 0.7591 0.7591 0.7591
O 0.7761 0.2598 0.2598

Properties
The calculation puts the density of states at the Fermi level at 0.80 states/eV/atom.



Referenced to the most stable arrangement, the calculated values in eV/atom are <a> 0.000; <b> 0.039.



<a>
This record from Alexandria describes a relaxed structure of Na2FeO3. The functional is PBEsol.

Unit cell a=6.2018 b=6.2018 c=5.0961 alpha=90.00 beta=90.00 gamma=59.01
Positions (direct):
Na 0.0244 0.6542 0.5000
Na 0.3458 0.9756 0.5000
Na 0.6542 0.0244 0.0000
Na 0.9756 0.3458 0.0000
Fe 0.3186 0.6814 0.0257
Fe 0.6814 0.3186 0.5257
O 0.0498 0.6718 0.9722
O 0.3282 0.9502 0.9722
O 0.4209 0.5791 0.3533
O 0.5791 0.4209 0.8533
O 0.6718 0.0498 0.4722
O 0.9502 0.3282 0.4722

Properties
The calculation puts the density of states at the Fermi level at 0.34 states/eV/atom.



<b>
This record from Alexandria describes a relaxed structure of Na2FeO3. The functional is PBEsol.

Unit cell a=5.1547 b=5.1547 c=10.6769 alpha=94.79 beta=94.79 gamma=119.96
Positions (direct):
Na 0.0000 0.5000 0.5000
Na 0.0864 0.9136 0.7500
Na 0.1573 0.3149 0.0000
Na 0.3149 0.1573 0.5000
Na 0.5000 0.0000 0.0000
Na 0.6851 0.8427 0.5000
Na 0.8427 0.6851 0.0000
Na 0.9136 0.0864 0.2500
Fe 0.2476 0.7524 0.2500
Fe 0.4196 0.5804 0.7500
Fe 0.5804 0.4196 0.2500
Fe 0.7524 0.2476 0.7500
O 0.0525 0.2592 0.6518
O 0.1199 0.5670 0.8474
O 0.2592 0.0525 0.1518
O 0.3274 0.5001 0.3474
O 0.4330 0.8801 0.6526
O 0.5001 0.3274 0.8474
O 0.4999 0.6726 0.1526
O 0.5670 0.1199 0.3474
O 0.6726 0.4999 0.6526
O 0.7408 0.9475 0.8482
O 0.8801 0.4330 0.1526
O 0.9475 0.7408 0.3482

Properties
The calculation puts the density of states at the Fermi level at 0.50 states/eV/atom.



Referenced to the most stable arrangement, the calculated values in eV/atom are <a> 0.075; <b> 0.000.



<a>
This record from Alexandria describes a relaxed structure of Na2FeO3. The functional is PBEsol.

Unit cell a=9.9258 b=9.3079 c=5.6436 alpha=79.04 beta=67.02 gamma=33.93
Positions (direct):
Na 0.0470 0.0470 0.2030
Na 0.1167 0.1167 0.6333
Na 0.2030 0.2030 0.0470
Na 0.3667 0.3667 0.8833
Na 0.6333 0.6333 0.1167
Na 0.7970 0.7970 0.9530
Na 0.8833 0.8833 0.3667
Na 0.9530 0.9530 0.7970
Fe 0.2897 0.2897 0.4603
Fe 0.4603 0.4603 0.2897
Fe 0.5397 0.5397 0.7103
Fe 0.7103 0.7103 0.5397
O 0.0061 0.4372 0.7379
O 0.1841 0.5659 0.5659
O 0.2621 0.6812 0.9939
O 0.3188 0.7379 0.4372
O 0.4341 0.8159 0.8159
O 0.4372 0.0061 0.3188
O 0.5628 0.9939 0.6812
O 0.5659 0.1841 0.1841
O 0.6812 0.2621 0.5628
O 0.7379 0.3188 0.0061
O 0.8159 0.4341 0.4341
O 0.9939 0.5628 0.2621

Properties
The calculation puts the density of states at the Fermi level at 0.04 states/eV/atom.



<b>
This record from Alexandria describes a relaxed structure of Na2FeO3. The functional is PBEsol.

Unit cell a=5.1580 b=5.1580 c=5.5581 alpha=99.21 beta=99.21 gamma=120.09
Positions (direct):
Na 0.0000 0.0000 0.0000
Na 0.1574 0.8426 0.5000
Na 0.5000 0.5000 0.5000
Na 0.8426 0.1574 0.5000
Fe 0.3328 0.6672 0.0000
Fe 0.6672 0.3328 0.0000
O 0.0672 0.4474 0.1948
O 0.3117 0.3117 0.8036
O 0.4474 0.0672 0.1948
O 0.5526 0.9328 0.8052
O 0.6883 0.6883 0.1964
O 0.9328 0.5526 0.8052

Properties
The calculation puts the density of states at the Fermi level at 0.50 states/eV/atom.



Referenced to the most stable arrangement, the calculated values in eV/atom are <a> 0.043; <b> 0.000.



<a>
This record from Alexandria describes a relaxed structure of NaFePO4. The functional is PBEsol.

Unit cell a=10.2570 b=6.1944 c=5.0936 alpha=90.00 beta=90.00 gamma=90.00
Positions (direct):
Na 0.0000 0.0000 0.0000
Na 0.0000 0.5000 0.0000
Na 0.5000 0.0000 0.5000
Na 0.5000 0.5000 0.5000
Fe 0.1648 0.2500 0.4959
Fe 0.3352 0.7500 0.9959
Fe 0.6648 0.2500 0.0041
Fe 0.8352 0.7500 0.5041
P 0.1861 0.7500 0.4834
P 0.3139 0.2500 0.9834
P 0.6861 0.7500 0.0166
P 0.8139 0.2500 0.5166
O 0.1182 0.5451 0.3750
O 0.1182 0.9549 0.3750
O 0.1674 0.2500 0.8925
O 0.1721 0.7500 0.7870
O 0.3279 0.2500 0.2870
O 0.3326 0.7500 0.3925
O 0.3818 0.0451 0.8750
O 0.3818 0.4549 0.8750
O 0.6182 0.5451 0.1250
O 0.6182 0.9549 0.1250
O 0.6674 0.2500 0.6075
O 0.6721 0.7500 0.7130
O 0.8279 0.2500 0.2130
O 0.8326 0.7500 0.1075
O 0.8818 0.0451 0.6250
O 0.8818 0.4549 0.6250

Properties
The calculation puts the density of states at the Fermi level at 0.16 states/eV/atom.



<b>
This record from Alexandria describes a relaxed structure of NaFePO4. The functional is PBEsol.

Unit cell a=4.9902 b=4.9902 c=6.7646 alpha=90.00 beta=90.00 gamma=114.69
Positions (direct):
Na 0.1844 0.8156 0.7500
Na 0.8156 0.1844 0.2500
Fe 0.5000 0.5000 0.0000
Fe 0.5000 0.5000 0.5000
P 0.1644 0.8356 0.2500
P 0.8356 0.1644 0.7500
O 0.1800 0.2931 0.7500
O 0.2716 0.7284 0.0656
O 0.2716 0.7284 0.4344
O 0.2931 0.1800 0.2500
O 0.7069 0.8200 0.7500
O 0.7284 0.2716 0.5656
O 0.7284 0.2716 0.9344
O 0.8200 0.7069 0.2500

Properties
The calculation puts the density of states at the Fermi level at 0.48 states/eV/atom.



Referenced to the most stable arrangement, the calculated values in eV/atom are <a> 0.017; <b> 0.000.



<a>
This record from Alexandria describes a relaxed structure of NbFeSn3. The functional is PBEsol.

Unit cell a=4.8147 b=4.8147 c=4.8147 alpha=90.00 beta=90.00 gamma=90.00
Positions (direct):
Nb 0.0000 0.0000 0.0000
Fe 0.5000 0.5000 0.5000
Sn 0.0000 0.5000 0.5000
Sn 0.5000 0.0000 0.5000
Sn 0.5000 0.5000 0.0000

Properties
The calculation puts the density of states at the Fermi level at 1.50 states/eV/atom.



<b>
This record from Alexandria describes a relaxed structure of NbFeSn3. The functional is PBEsol.

Unit cell a=5.2809 b=5.2809 c=5.2809 alpha=90.00 beta=90.00 gamma=90.00
Positions (direct):
Nb 0.0000 0.0000 0.0000
Fe 0.5000 0.5000 0.5000
Sn 0.0000 0.0000 0.5000
Sn 0.0000 0.5000 0.0000
Sn 0.5000 0.0000 0.0000

Properties
The calculation puts the density of states at the Fermi level at 1.85 states/eV/atom.



Referenced to the most stable arrangement, the calculated values in eV/atom are <a> 0.000; <b> 0.308.